A geometry-optimized SrCo2Hg structure. Source: the Alexandria database, functional PBE.

a b c (Å): 3.8888 4.2350 10.1679
angles (deg): 90.00 90.00 90.00
Atoms (fractional coordinates):
Sr1 0.0000 0.0000 0.0000
Sr2 0.0000 0.5000 0.5000
Co1 0.0000 0.0000 0.2846
Co2 0.0000 0.5000 0.7846
Co3 0.5000 0.0000 0.3870
Co4 0.5000 0.5000 0.8870
Hg1 0.5000 0.0000 0.7010
Hg2 0.5000 0.5000 0.2010

**Total magnetization**: 2.523 μB/f.u.
**Formation energy**: 0.294 eV/atom
**Space-group type**: Amm2 (38)
**Calculated density**: 8054 kg/m3

---

A geometry-optimized SrCoHg2 structure. Source: the Alexandria database, functional PBE.

a b c (Å): 4.6905 4.6905 8.5634
angles (deg): 90.00 90.00 90.00
Atoms (fractional coordinates):
Sr1 0.0000 0.0000 0.0000
Sr2 0.5000 0.5000 0.5000
Co1 0.0000 0.0000 0.5000
Co2 0.5000 0.5000 0.0000
Hg1 0.0000 0.5000 0.2500
Hg2 0.0000 0.5000 0.7500
Hg3 0.5000 0.0000 0.2500
Hg4 0.5000 0.0000 0.7500

**Total magnetization**: 1.174 μB/f.u.
**Formation energy**: 0.157 eV/atom
**Space-group type**: I4/mmm (139)
**Calculated density**: 9655 kg/m3

---

A geometry-optimized SrCoHg2 structure. Source: the Alexandria database, functional PBE.

a b c (Å): 5.2072 5.2072 17.5089
angles (deg): 90.00 90.00 90.00
Atoms (fractional coordinates):
Sr1 0.0000 0.0000 0.0000
Sr2 0.0000 0.5000 0.2500
Sr3 0.5000 0.0000 0.7500
Sr4 0.5000 0.5000 0.5000
Co1 0.0000 0.0000 0.5000
Co2 0.0000 0.5000 0.7500
Co3 0.5000 0.0000 0.2500
Co4 0.5000 0.5000 0.0000
Hg1 0.1111 0.2500 0.6250
Hg2 0.2500 0.6111 0.8750
Hg3 0.2500 0.8889 0.3750
Hg4 0.3889 0.2500 0.1250
Hg5 0.6111 0.7500 0.1250
Hg6 0.7500 0.1111 0.3750
Hg7 0.7500 0.3889 0.8750
Hg8 0.8889 0.7500 0.6250

**Total magnetization**: 1.165 μB/f.u.
**Formation energy**: 0.213 eV/atom
**Space-group type**: I-42d (122)
**Calculated density**: 7663 kg/m3

---

A geometry-optimized SrCo2Hg structure. Source: the Alexandria database, functional PBE.

a b c (Å): 3.2486 3.2486 7.4431
angles (deg): 90.00 90.00 90.00
Atoms (fractional coordinates):
Sr1 0.0000 0.0000 0.0000
Co1 0.0000 0.0000 0.4136
Co2 0.5000 0.5000 0.3070
Hg1 0.5000 0.5000 0.6692

**Total magnetization**: 3.094 μB/f.u.
**Formation energy**: 0.261 eV/atom
**Space-group type**: P4mm (99)
**Calculated density**: 8584 kg/m3

---

> Which formula does entry 4 have?

SrCo2Hg